Compound: CrSi3O
Source: Alexandria
Functional: PBE+U
Structure: relaxed

Output
ΔE to the lowest computed polymorph   73.3 kJ per mole of atoms
Mass density   2.8 g/cm³
Calculated total energy   -23.8 eV/cell

Cell: 4.463 4.463 4.463 Å, 90.00 90.00 90.00°
Space group Pm-3m (No. 221)
Inequivalent atoms, fractional coordinates:
Cr 0.000 0.000 0.000 (multiplicity 1)
Si 0.000 0.000 0.500 (multiplicity 3)
O 0.500 0.500 0.500 (multiplicity 1)